DFT (GGA-PBE) results for a relaxed structure of PrCdW.

Properties
Electronic total energy ... -4.70 eV/atom
Formation energy ... 1.51 eV per atom

Cell and atoms, written as CIF:
```
data_PrCdW
_chemical_formula_sum 'Pr4 Cd4 W4'
_cell_length_a 7.052
_cell_length_b 7.052
_cell_length_c 7.052
_cell_angle_alpha 90.00
_cell_angle_beta 90.00
_cell_angle_gamma 90.00
_symmetry_space_group_name_H-M 'F -4 3 m'
_symmetry_Int_Tables_number 216
_symmetry_space_group_name_Hall 'F -4 2 3'
loop_
_atom_site_label
_atom_site_fract_x
_atom_site_fract_y
_atom_site_fract_z
Pr1 0.000 0.000 0.000
Cd1 0.250 0.250 0.750
W1 0.250 0.250 0.250
```



DFT (GGA-PBE) results for a relaxed structure of Y4FeSbC2.

Properties
Electronic total energy ... -7.34 eV/atom

Cell and atoms, written as CIF:
```
data_Y4FeSbC2
_chemical_formula_sum 'Y4 Fe1 Sb1 C2'
_cell_length_a 3.6148
_cell_length_b 3.6148
_cell_length_c 14.7387
_cell_angle_alpha 90.00
_cell_angle_beta 90.00
_cell_angle_gamma 120.00
_symmetry_space_group_name_H-M 'P -6 m 2'
_symmetry_Int_Tables_number 187
_symmetry_space_group_name_Hall 'P -6 2'
loop_
_atom_site_label
_atom_site_fract_x
_atom_site_fract_y
_atom_site_fract_z
Y1 0.0000 0.0000 0.1451
Y2 0.3333 0.6667 0.3280
Fe1 0.3333 0.6667 0.0000
Sb1 0.0000 0.0000 0.5000
C1 0.6667 0.3333 0.2396
```



DFT (GGA-PBE) results for a relaxed structure of Hf4Mo2As3C3.

Properties
Electronic total energy ... -9.33 eV/atom

Cell and atoms, written as CIF:
```
data_Hf4Mo2As3C3
_chemical_formula_sum 'Hf16 Mo8 As12 C12'
_cell_length_a 10.089
_cell_length_b 5.842
_cell_length_c 12.634
_cell_angle_alpha 90.00
_cell_angle_beta 105.32
_cell_angle_gamma 90.00
_symmetry_space_group_name_H-M 'C 1 2/c 1'
_symmetry_Int_Tables_number 15
loop_
_symmetry_equiv_pos_as_xyz
'x,y,z'
'-x,-y,-z'
'-x,y,-z+1/2'
'x,-y,z+1/2'
'x+1/2,y+1/2,z'
'-x+1/2,-y+1/2,-z'
'-x+1/2,y+1/2,-z+1/2'
'x+1/2,-y+1/2,z+1/2'
loop_
_atom_site_label
_atom_site_fract_x
_atom_site_fract_y
_atom_site_fract_z
Hf1 0.117 0.082 0.101
Hf2 0.216 0.084 0.399
Mo1 0.058 0.414 0.916
As1 0.000 0.109 0.750
As2 0.155 0.428 0.251
C1 0.084 0.247 0.500
C2 0.250 0.250 0.000
```



DFT (GGA-PBE) results for a relaxed structure of BaTaB4.

Properties
Electronic total energy ... -7.01 eV/atom
Excess energy over the best structure of this formula in the dataset ... 0 meV/atom

Cell and atoms, written as CIF:
```
data_BaTaB4
_chemical_formula_sum 'Ba1 Ta1 B4'
_cell_length_a 3.1513
_cell_length_b 3.1513
_cell_length_c 8.3314
_cell_angle_alpha 90.00
_cell_angle_beta 90.00
_cell_angle_gamma 120.00
_symmetry_space_group_name_H-M 'P 6/m m m'
_symmetry_Int_Tables_number 191
_symmetry_space_group_name_Hall '-P 6 2'
loop_
_atom_site_label
_atom_site_fract_x
_atom_site_fract_y
_atom_site_fract_z
Ba1 0.0000 0.0000 0.0000
Ta1 0.0000 0.0000 0.5000
B1 0.3333 0.6667 0.3022
```



DFT (GGA-PBE) results for a relaxed structure of K2ZnP4H8O15.

Properties
Electronic total energy ... -5.64 eV/atom

Cell and atoms, written as CIF:
```
data_K2ZnP4H8O15
_chemical_formula_sum 'K4 Zn2 P8 H16 O30'
_cell_length_a 9.030
_cell_length_b 11.974
_cell_length_c 6.190
_cell_angle_alpha 90.00
_cell_angle_beta 103.93
_cell_angle_gamma 90.00
_symmetry_space_group_name_H-M 'C 1 2/m 1'
_symmetry_Int_Tables_number 12
loop_
_symmetry_equiv_pos_as_xyz
'x,y,z'
'-x,-y,-z'
'-x,y,-z'
'x,-y,z'
'x+1/2,y+1/2,z'
'-x+1/2,-y+1/2,-z'
'-x+1/2,y+1/2,-z'
'x+1/2,-y+1/2,z'
loop_
_atom_site_label
_atom_site_fract_x
_atom_site_fract_y
_atom_site_fract_z
K1 0.216 0.000 0.071
Zn1 0.000 0.000 0.500
P1 0.010 0.245 0.683
H1 0.199 0.434 0.384
H2 0.241 0.247 0.225
O1 0.000 0.500 0.000
O2 0.010 0.122 0.747
O3 0.118 0.316 0.267
O4 0.167 0.303 0.790
O5 0.243 0.000 0.544
```



DFT (GGA-PBE) results for a relaxed structure of ScZnAs2.

Properties
Electronic total energy ... -4.34 eV/atom

Cell and atoms, written as CIF:
```
data_ScZnAs2
_chemical_formula_sum 'Sc4 Zn4 As8'
_cell_length_a 6.718
_cell_length_b 6.718
_cell_length_c 6.718
_cell_angle_alpha 90.00
_cell_angle_beta 90.00
_cell_angle_gamma 90.00
_symmetry_space_group_name_H-M 'F -4 3 m'
_symmetry_Int_Tables_number 216
_symmetry_space_group_name_Hall 'F -4 2 3'
loop_
_atom_site_label
_atom_site_fract_x
_atom_site_fract_y
_atom_site_fract_z
Sc1 0.000 0.000 0.000
Zn1 0.250 0.250 0.250
As1 0.000 0.000 0.500
As2 0.250 0.250 0.750
```



DFT (GGA-PBE) results for a relaxed structure of SnTe2Ir.

Properties
Electronic total energy ... -4.21 eV/atom

Cell and atoms, written as CIF:
```
data_SnTe2Ir
_chemical_formula_sum 'Sn4 Te8 Ir4'
_cell_length_a 7.149
_cell_length_b 7.149
_cell_length_c 7.149
_cell_angle_alpha 90.00
_cell_angle_beta 90.00
_cell_angle_gamma 90.00
_symmetry_space_group_name_H-M 'F -4 3 m'
_symmetry_Int_Tables_number 216
_symmetry_space_group_name_Hall 'F -4 2 3'
loop_
_atom_site_label
_atom_site_fract_x
_atom_site_fract_y
_atom_site_fract_z
Sn1 0.000 0.000 0.000
Te1 0.000 0.000 0.500
Te2 0.250 0.250 0.750
Ir1 0.250 0.250 0.250
```



DFT (GGA-PBE) results for a relaxed structure of Sr2CdPb.

Properties
Electronic total energy ... -2.46 eV/atom
Excess energy over the best structure of this formula in the dataset ... 37 meV/atom

Cell and atoms, written as CIF:
```
data_Sr2CdPb
_chemical_formula_sum 'Sr2 Cd1 Pb1'
_cell_length_a 5.746
_cell_length_b 5.746
_cell_length_c 4.105
_cell_angle_alpha 90.00
_cell_angle_beta 90.00
_cell_angle_gamma 90.00
_symmetry_space_group_name_H-M 'P 4/m m m'
_symmetry_Int_Tables_number 123
_symmetry_space_group_name_Hall '-P 4 2'
loop_
_atom_site_label
_atom_site_fract_x
_atom_site_fract_y
_atom_site_fract_z
Sr1 0.000 0.500 0.000
Cd1 0.000 0.000 0.500
Pb1 0.500 0.500 0.500
```



DFT (GGA-PBE) results for a relaxed structure of Ta3I7.

Properties
Electronic total energy ... -5.09 eV/atom

Cell and atoms, written as CIF:
```
data_Ta3I7
_chemical_formula_sum 'Ta24 I56'
_cell_length_a 15.247
_cell_length_b 15.425
_cell_length_c 12.817
_cell_angle_alpha 90.00
_cell_angle_beta 90.00
_cell_angle_gamma 90.00
_symmetry_space_group_name_H-M 'C m c e'
_symmetry_Int_Tables_number 64
_symmetry_space_group_name_Hall '-C 2ac 2'
loop_
_atom_site_label
_atom_site_fract_x
_atom_site_fract_y
_atom_site_fract_z
Ta1 0.000 0.099 0.070
Ta2 0.103 0.051 0.895
I1 0.000 0.128 0.737
I2 0.122 0.094 0.236
I3 0.123 0.218 0.983
I4 0.243 0.000 0.500
I5 0.250 0.133 0.750
```



DFT (GGA-PBE) results for a relaxed structure of Zr2Nb4Ge3N3.

Properties
Electronic total energy ... -8.86 eV/atom

Cell and atoms, written as CIF:
```
data_Zr2Nb4Ge3N3
_chemical_formula_sum 'Zr8 Nb16 Ge12 N12'
_cell_length_a 9.771
_cell_length_b 5.654
_cell_length_c 13.286
_cell_angle_alpha 90.00
_cell_angle_beta 104.20
_cell_angle_gamma 90.00
_symmetry_space_group_name_H-M 'C 1 2/c 1'
_symmetry_Int_Tables_number 15
loop_
_symmetry_equiv_pos_as_xyz
'x,y,z'
'-x,-y,-z'
'-x,y,-z+1/2'
'x,-y,z+1/2'
'x+1/2,y+1/2,z'
'-x+1/2,-y+1/2,-z'
'-x+1/2,y+1/2,-z+1/2'
'x+1/2,-y+1/2,z+1/2'
loop_
_atom_site_label
_atom_site_fract_x
_atom_site_fract_y
_atom_site_fract_z
Zr1 0.051 0.085 0.398
Nb1 0.112 0.422 0.585
Nb2 0.219 0.413 0.915
Ge1 0.000 0.456 0.250
Ge2 0.183 0.102 0.749
N1 0.078 0.237 0.000
N2 0.250 0.250 0.500
```



> Number 5 is which compound?

K2ZnP4H8O15



What did the third record say?
DFT (GGA-PBE) results for a relaxed structure of Hf4Mo2As3C3.

Properties
Electronic total energy ... -9.33 eV/atom

Cell and atoms, written as CIF:
```
data_Hf4Mo2As3C3
_chemical_formula_sum 'Hf16 Mo8 As12 C12'
_cell_length_a 10.089
_cell_length_b 5.842
_cell_length_c 12.634
_cell_angle_alpha 90.00
_cell_angle_beta 105.32
_cell_angle_gamma 90.00
_symmetry_space_group_name_H-M 'C 1 2/c 1'
_symmetry_Int_Tables_number 15
loop_
_symmetry_equiv_pos_as_xyz
'x,y,z'
'-x,-y,-z'
'-x,y,-z+1/2'
'x,-y,z+1/2'
'x+1/2,y+1/2,z'
'-x+1/2,-y+1/2,-z'
'-x+1/2,y+1/2,-z+1/2'
'x+1/2,-y+1/2,z+1/2'
loop_
_atom_site_label
_atom_site_fract_x
_atom_site_fract_y
_atom_site_fract_z
Hf1 0.117 0.082 0.101
Hf2 0.216 0.084 0.399
Mo1 0.058 0.414 0.916
As1 0.000 0.109 0.750
As2 0.155 0.428 0.251
C1 0.084 0.247 0.500
C2 0.250 0.250 0.000
```